Record 1
## Er3Mg3Tl2 (PBE)

Data for a relaxed Er3Mg3Tl2 crystal.

Cell: 4.875 4.923 8.451 Å, 90.00 90.00 90.00°
Space group Pmmm (No. 47)
Asymmetric unit:
1 Er 0.000 0.000 0.000 [1 per cell]
2 Er 0.000 0.000 0.500 [1 per cell]
3 Er 0.500 0.500 0.000 [1 per cell]
4 Mg 0.000 0.500 0.260 [2 per cell]
5 Mg 0.500 0.500 0.500 [1 per cell]
6 Tl 0.500 0.000 0.254 [2 per cell]

Summary:
The calculation puts the formation energy at -0.194 eV per atom. The calculation puts the theoretical density at 8.05 g/cm3. The value obtained for the total energy is -24.753 eV for the cell shown. The calculation puts the calculated volume at 25.35 Å³ per atom. The density of states at the Fermi level is 4.2 states/eV/f.u.

***

Record 2
## ErMgTl (PBE)

Data for a relaxed ErMgTl crystal.

Cell: 3.576 3.576 12.117 Å, 90.00 90.00 90.00°
Space group I4mm (No. 107)
Asymmetric unit:
1 Er 0.000 0.000 0.000 [2 per cell]
2 Mg 0.000 0.000 0.681 [2 per cell]
3 Tl 0.000 0.000 0.327 [2 per cell]

Summary:
The calculation puts the formation energy at -0.136 eV per atom. The calculation puts the theoretical density at 8.49 g/cm3. The value obtained for the total energy is -17.862 eV for the cell shown. The calculation puts the calculated volume at 25.82 Å³ per atom. The density of states at the Fermi level is 1.8 states/eV/f.u.

***

Record 3
## Er5MgTl2 (PBE)

Data for a relaxed Er5MgTl2 crystal.

Cell: 4.643 11.251 17.083 Å, 90.00 90.00 90.00°
Space group Cmcm (No. 63)
Asymmetric unit:
1 Er 0.000 0.032 0.250 [4 per cell]
2 Er 0.000 0.152 0.039 [8 per cell]
3 Er 0.000 0.456 0.099 [8 per cell]
4 Mg 0.000 0.313 0.250 [4 per cell]
5 Tl 0.000 0.259 0.650 [8 per cell]

Summary:
The calculation puts the formation energy at -0.091 eV per atom. The calculation puts the theoretical density at 9.45 g/cm3. The value obtained for the total energy is -119.492 eV for the cell shown. The calculation puts the calculated volume at 27.89 Å³ per atom. The density of states at the Fermi level is 8.6 states/eV/f.u.

***

Record 4
## ErMg3Tl3 (PBE)

Data for a relaxed ErMg3Tl3 crystal.

Cell: 7.774 7.774 7.774 Å, 90.00 90.00 90.00°
Space group Pm-3n (No. 223)
Asymmetric unit:
1 Er 0.000 0.000 0.000 [2 per cell]
2 Mg 0.000 0.250 0.500 [6 per cell]
3 Tl 0.000 0.500 0.250 [6 per cell]

Summary:
The calculation puts the formation energy at 0.514 eV per atom. The calculation puts the theoretical density at 6.03 g/cm3. The value obtained for the total energy is -25.701 eV for the cell shown. The calculation puts the excess energy over the best structure of this formula in the dataset at 49.0 kJ per mole of atoms. The calculation puts the calculated volume at 33.56 Å³ per atom. The density of states at the Fermi level is 6.6 states/eV/f.u.

***

Record 5
## ErMg3Tl (PBE)

Data for a relaxed ErMg3Tl crystal.

Cell: 5.126 5.143 11.005 Å, 100.93 94.34 115.18°
Space group P-1 (No. 2)
Asymmetric unit:
1 Er 0.060 0.108 0.166 [2 per cell]
2 Mg 0.000 0.000 0.500 [1 per cell]
3 Mg 0.339 0.680 0.019 [2 per cell]
4 Mg 0.445 0.890 0.331 [2 per cell]
5 Mg 0.500 0.500 0.500 [1 per cell]
6 Tl 0.234 0.497 0.734 [2 per cell]

Summary:
The calculation puts the formation energy at -0.043 eV per atom. The calculation puts the theoretical density at 5.82 g/cm3. The value obtained for the total energy is -23.851 eV for the cell shown. The calculation puts the calculated volume at 25.38 Å³ per atom. The density of states at the Fermi level is 2.5 states/eV/f.u.

***

Record 6
## Er12MgTl3 (PBE)

Data for a relaxed Er12MgTl3 crystal.

Cell: 4.822 4.822 19.339 Å, 90.00 90.00 90.00°
Space group P4/mmm (No. 123)
Asymmetric unit:
1 Er 0.000 0.000 0.000 [1 per cell]
2 Er 0.000 0.000 0.249 [2 per cell]
3 Er 0.000 0.000 0.500 [1 per cell]
4 Er 0.000 0.500 0.124 [4 per cell]
5 Er 0.000 0.500 0.374 [4 per cell]
6 Mg 0.500 0.500 0.500 [1 per cell]
7 Tl 0.500 0.500 0.000 [1 per cell]
8 Tl 0.500 0.500 0.249 [2 per cell]

Summary:
The calculation puts the formation energy at -0.118 eV per atom. The calculation puts the theoretical density at 9.77 g/cm3. The value obtained for the total energy is -65.339 eV for the cell shown. The calculation puts the calculated volume at 28.10 Å³ per atom. The density of states at the Fermi level is 23.4 states/eV/f.u.

***

Record 7
## ErMg2Tl (PBE)

Data for a relaxed ErMg2Tl crystal.

Cell: 4.506 4.506 4.808 Å, 90.00 90.00 90.00°
Space group P4/mmm (No. 123)
Asymmetric unit:
1 Er 0.000 0.000 0.000 [1 per cell]
2 Mg 0.000 0.500 0.500 [2 per cell]
3 Tl 0.500 0.500 0.000 [1 per cell]

Summary:
The calculation puts the formation energy at -0.198 eV per atom. The calculation puts the theoretical density at 7.15 g/cm3. The value obtained for the total energy is -10.912 eV for the cell shown. The calculation puts the excess energy over the best structure of this formula in the dataset at 0.0 kJ per mole of atoms. The calculation puts the calculated volume at 24.40 Å³ per atom. The density of states at the Fermi level is 2.3 states/eV/f.u.

***

Record 8
## ErMgTl (PBE)

Data for a relaxed ErMgTl crystal.

Cell: 4.9473 4.9473 3.5792 Å, 90.00 90.00 120.00°
Space group P3m1 (No. 156)
Asymmetric unit:
1 Er 0.0000 0.0000 0.0000 [1 per cell]
2 Mg 0.3333 0.6667 0.5003 [1 per cell]
3 Tl 0.6667 0.3333 0.4983 [1 per cell]

Summary:
The calculation puts the formation energy at -0.217 eV per atom. The calculation puts the theoretical density at 8.67 g/cm3. The value obtained for the total energy is -9.175 eV for the cell shown. The calculation puts the calculated volume at 25.29 Å³ per atom. The density of states at the Fermi level is 2.6 states/eV/f.u.

***

Record 9
## ErMg2Tl3 (PBE)

Data for a relaxed ErMg2Tl3 crystal.

Cell: 5.033 15.264 3.953 Å, 90.00 90.00 90.00°
Space group Cmmm (No. 65)
Asymmetric unit:
1 Er 0.000 0.000 0.000 [2 per cell]
2 Mg 0.000 0.332 0.000 [4 per cell]
3 Tl 0.000 0.170 0.500 [4 per cell]
4 Tl 0.000 0.500 0.500 [2 per cell]

Summary:
The calculation puts the formation energy at -0.160 eV per atom. The calculation puts the theoretical density at 9.07 g/cm3. The value obtained for the total energy is -31.620 eV for the cell shown. The calculation puts the excess energy over the best structure of this formula in the dataset at 0.0 kJ per mole of atoms. The calculation puts the calculated volume at 25.30 Å³ per atom. The density of states at the Fermi level is 2.3 states/eV/f.u.

***

Record 10
## Er4Mg3Tl (PBE)

Data for a relaxed Er4Mg3Tl crystal.

Cell: 3.451 5.018 12.527 Å, 90.00 90.00 90.00°
Space group Pmm2 (No. 25)
Asymmetric unit:
1 Er 0.000 0.000 0.000 [1 per cell]
2 Er 0.000 0.500 0.344 [1 per cell]
3 Er 0.500 0.000 0.500 [1 per cell]
4 Er 0.500 0.500 0.846 [1 per cell]
5 Mg 0.000 0.000 0.738 [1 per cell]
6 Mg 0.000 0.500 0.606 [1 per cell]
7 Mg 0.500 0.500 0.105 [1 per cell]
8 Tl 0.500 0.000 0.242 [1 per cell]

Summary:
The calculation puts the formation energy at -0.094 eV per atom. The calculation puts the theoretical density at 7.24 g/cm3. The value obtained for the total energy is -26.157 eV for the cell shown. The calculation puts the excess energy over the best structure of this formula in the dataset at 4.6 kJ per mole of atoms. The calculation puts the calculated volume at 27.12 Å³ per atom. The density of states at the Fermi level is 6.9 states/eV/f.u.

***

Record 11
## Er3MgTl2 (PBE)

Data for a relaxed Er3MgTl2 crystal.

Cell: 3.744 3.744 11.353 Å, 90.00 90.00 90.00°
Space group P4/mmm (No. 123)
Asymmetric unit:
1 Er 0.000 0.000 0.000 [1 per cell]
2 Er 0.000 0.000 0.340 [2 per cell]
3 Mg 0.500 0.500 0.500 [1 per cell]
4 Tl 0.500 0.500 0.175 [2 per cell]

Summary:
The calculation puts the formation energy at -0.244 eV per atom. The calculation puts the theoretical density at 9.76 g/cm3. The value obtained for the total energy is -21.478 eV for the cell shown. The calculation puts the excess energy over the best structure of this formula in the dataset at 1.2 kJ per mole of atoms. The calculation puts the calculated volume at 26.52 Å³ per atom. The density of states at the Fermi level is 5.4 states/eV/f.u.

***

Record 12
## Er2MgTl (PBE)

Data for a relaxed Er2MgTl crystal.

Cell: 4.928 4.928 4.318 Å, 90.00 90.00 90.00°
Space group P4/mmm (No. 123)
Asymmetric unit:
1 Er 0.000 0.500 0.000 [2 per cell]
2 Mg 0.000 0.000 0.500 [1 per cell]
3 Tl 0.500 0.500 0.500 [1 per cell]

Summary:
The calculation puts the formation energy at -0.217 eV per atom. The calculation puts the theoretical density at 8.92 g/cm3. The value obtained for the total energy is -13.956 eV for the cell shown. The calculation puts the excess energy over the best structure of this formula in the dataset at 0.0 kJ per mole of atoms. The calculation puts the calculated volume at 26.21 Å³ per atom. The density of states at the Fermi level is 3.4 states/eV/f.u.